# Cs3Pm3MoO8

A relaxed structure of Cs3Pm3MoO8 (PBE with a Hubbard U, Alexandria via LeMat-Bulk).

Cell lengths 7.0670, 7.1255, 8.0848 Å; angles 116.09, 90.00, 119.73 degrees
Site moments in Bohr magnetons follow the coordinates.
Positions (direct):
Cs 0.0000 0.0000 0.0000  0.00
Cs 0.0000 0.5000 0.0000  0.00
Cs 0.5000 0.5000 0.0000  0.00
Pm 0.5000 0.0000 0.5000  0.00
Pm 0.5000 0.5000 0.5000  0.01
Pm 0.0000 0.5000 0.5000  0.01
Mo 0.0000 0.0000 0.5000  1.85
O 0.2800 0.5599 0.3351  0.00
O 0.7200 0.4401 0.6649  0.00
O 0.7921 0.5842 0.3419  0.02
O 0.2079 0.4158 0.6581  0.02
O 0.8005 0.0467 0.3455  0.01
O 0.1995 0.9533 0.6545  0.01
O 0.2463 0.0467 0.3455  0.01
O 0.7537 0.9533 0.6545  0.01

Computed properties:
As for the total energy: -6.630 eV/atom.